Entry from Alexandria: an optimized crystal structure of LiU2MnS6 (PBE).

The crystal system is tetragonal. The raw formation energy is -9.18 eV/f.u.

CIF file:
```
data_LiU2MnS6
_chemical_formula_sum 'Li1 U2 Mn1 S6'
_space_group_name_H-M_alt 'P 4 m m'
_space_group_IT_number 99
_space_group_name_Hall 'P 4 -2'
_cell_length_a 5.936
_cell_length_b 5.936
_cell_length_c 6.178
_cell_angle_alpha 90.00
_cell_angle_beta 90.00
_cell_angle_gamma 90.00
loop_
_atom_site_label
_atom_site_type_symbol
_atom_site_fract_x
_atom_site_fract_y
_atom_site_fract_z
Li1 Li 0.000 0.000 0.000
U1 U 0.000 0.500 0.480
Mn1 Mn 0.500 0.500 0.061
S1 S 0.000 0.000 0.626
S2 S 0.250 0.250 0.201
S3 S 0.500 0.500 0.671
```